Record 1
Density functional theory data (GGA-PBE) for a geometry-optimized Pr6Si2AuI3 structure.

Structure (POSCAR):
```
Pr6Si2AuI3
1.0
3.8054 -6.5959 0.0000
3.8054 6.5959 0.0000
-2.5553 0.0000 7.6213
Pr Si Au I
6 2 1 3
Cartesian
-0.0437 2.2554 6.0563
1.1903 0.0000 1.5775
-0.0437 -2.2554 6.0563
5.0993 2.2554 1.5651
3.8652 0.0000 6.0438
5.0993 -2.2554 1.5651
3.8054 4.4036 0.0000
3.8054 -4.4036 0.0000
3.8054 0.0000 0.0000
-1.2776 0.0000 3.8107
2.5278 2.2155 3.8107
2.5278 -2.2155 3.8107
```

**Magnetic moment**: 0.00 μB/atom
**DOS at the Fermi energy**: 9.0 states/eV per cell
**SG**: No. 12



Record 2
Density functional theory data (GGA-PBE) for a geometry-optimized YTiI2O structure.

Structure (POSCAR):
```
YTiI2O
1.0
5.8129 0.0000 0.0000
0.0000 5.8129 0.0000
0.0000 0.0000 3.7507
Y Ti I O
1 1 2 1
Cartesian
0.0000 0.0000 0.0000
2.9065 2.9065 1.8753
0.0000 2.9065 1.8753
2.9065 0.0000 1.8753
2.9065 2.9065 0.0000
```

**Magnetic moment**: 0.20 μB/atom
**DOS at the Fermi energy**: 4.1 states/eV per cell
**SG**: No. 123
**ΔE to the lowest computed polymorph**: 0.000 eV per atom



Record 3
Density functional theory data (GGA-PBE) for a geometry-optimized Sr2TiBO6 structure.

Structure (POSCAR):
```
Sr2TiBO6
1.0
5.5182 0.0000 0.0000
-2.7591 4.7789 0.0000
0.0000 0.0000 4.6662
Sr Ti B O
2 1 1 6
Cartesian
0.0000 3.1859 1.4420
2.7591 1.5930 3.2242
0.0000 0.0000 0.0000
0.0000 0.0000 2.3331
0.0000 1.4268 3.3467
-1.5234 4.0655 3.3467
1.2357 0.7134 1.3195
1.5234 4.0655 3.3467
4.2825 0.7134 1.3195
2.7591 3.3521 1.3195
```

**Magnetic moment**: 0.09 μB/atom
**DOS at the Fermi energy**: 5.9 states/eV per cell
**SG**: No. 164



Raw formation energy list, top to bottom, in eV per atom: -0.89, -1.08, -2.30
Ρ list, top to bottom, in g cm⁻³: 6.42, 5.33, 4.45